Material: HfAgPt2
Method: DFT, PBE
State: optimized geometry

Results
DFT formation energy in eV/atom: -0.49

extended XYZ file:
```
4
Lattice="0.000 3.254 3.254 3.254 0.000 3.254 3.254 3.254 0.000" Properties=species:S:1:pos:R:3 pbc="T T T"
Hf 0.000 0.000 0.000
Ag 1.627 1.627 1.627
Pt 3.254 3.254 3.254
Pt 4.881 4.881 4.881
```